Record 1
## NbAg3F (PBE)

Data for a geometry-optimized NbAg3F structure.

Cell: 5.255 5.255 5.255 Å, 90.00 90.00 90.00°
Site moments in Bohr magnetons follow the coordinates.
Fractional positions:
Nb 0.000 0.000 0.000  0.64
Ag 0.000 0.500 0.000  0.00
Ag 0.000 0.000 0.500  0.01
Ag 0.500 0.000 0.000  0.01
F 0.500 0.500 0.500  -0.01

Output
Total energy = -2.83 eV per atom
Relative energy among the computed polymorphs = 762 meV/atom
Space group = No. 221
Total magnetic moment = 0.74 μB per formula unit
Uncorrected formation energy = 1270 meV/atom

Record 2
## Sm2HoSb (PBE)

Data for a geometry-optimized Sm2HoSb structure.

Cell: 4.064 4.064 9.831 Å, 78.07 78.07 60.00°
Site moments in Bohr magnetons follow the coordinates.
Fractional positions:
Sm 0.069 0.069 0.794  0.14
Sm 0.265 0.265 0.206  0.03
Ho 0.500 0.500 0.500  0.33
Sb 0.666 0.666 0.001  0.00

Output
Total energy = -4.87 eV per atom
Relative energy among the computed polymorphs = 197 meV/atom
Space group = No. 160
Total magnetic moment = 0.95 μB per formula unit
Uncorrected formation energy = -333 meV/atom

> total magnetic moment of number 1 (NbAg3F)?

0.74 μB per formula unit

> What is the formula in the second record?

Sm2HoSb